[1]
Entry from Alexandria: a crystal of Li5Ni9P7 relaxed with PBEsol (meta-GGA SCAN).

Computed properties:
space group = P-6, No. 174
energy = -11.64 eV per atom
E_form = -0.6689 eV/atom
crystal system = hexagonal
density = 5.24 Mg/m³

Lattice parameters (Å, degrees): 8.9127 8.9127 3.5906 90.00 90.00 120.00
Atoms (fractional coordinates):
1 Li 0.0000 0.0000 0.0000
2 Li 0.2192 0.7686 0.0000
3 Li 0.2314 0.4506 0.0000
4 Li 0.5494 0.7808 0.0000
5 Li 0.6667 0.3333 0.5000
6 Ni 0.0451 0.4979 0.5000
7 Ni 0.2786 0.2381 0.5000
8 Ni 0.3787 0.1038 0.0000
9 Ni 0.4527 0.9549 0.5000
10 Ni 0.5021 0.5473 0.5000
11 Ni 0.7251 0.6213 0.0000
12 Ni 0.7619 0.0405 0.5000
13 Ni 0.8962 0.2749 0.0000
14 Ni 0.9595 0.7214 0.5000
15 P 0.0334 0.2434 0.5000
16 P 0.2100 0.9666 0.5000
17 P 0.3333 0.6667 0.5000
18 P 0.4610 0.3798 0.0000
19 P 0.6202 0.0812 0.0000
20 P 0.7566 0.7900 0.5000
21 P 0.9188 0.5390 0.0000



[2]
Entry from Alexandria: a crystal of I relaxed with PBEsol (meta-GGA SCAN).

Computed properties:
space group = P3_121, No. 152
energy relative to the elements, uncorrected = 9 kJ/mol of formula units
energy = -36.65 eV per atom
ΔE to the lowest computed polymorph = 96 meV per atom
crystal system = trigonal
density = 4.77 Mg/m³

Lattice parameters (Å, degrees): 4.2565 4.2565 8.4422 90.00 90.00 120.00
Atoms (fractional coordinates):
1 I 0.0000 0.9054 0.1667
2 I 0.0946 0.0946 0.5000
3 I 0.9054 0.0000 0.8333



[3]
Entry from Alexandria: a crystal of LiOs2Au relaxed with PBEsol (meta-GGA SCAN).

Computed properties:
space group = Imm2, No. 44
energy = -53.38 eV per atom
E_form = 0.4456 eV/atom
ΔE to the lowest computed polymorph = 292 meV per atom
crystal system = orthorhombic
density = 17.81 Mg/m³

Lattice parameters (Å, degrees): 3.0776 4.3265 8.1857 90.00 90.00 90.00
Atoms (fractional coordinates):
1 Li 0.0000 0.0000 0.0000
2 Li 0.5000 0.5000 0.5000
3 Os 0.0000 0.0000 0.4987
4 Os 0.0000 0.5000 0.7413
5 Os 0.5000 0.0000 0.2413
6 Os 0.5000 0.5000 0.9987
7 Au 0.0000 0.5000 0.2740
8 Au 0.5000 0.0000 0.7740



[4]
Entry from Alexandria: a crystal of In2BrCl relaxed with PBEsol (meta-GGA SCAN).

Computed properties:
space group = Fm-3m, No. 225
energy relative to the elements, uncorrected = -278 kJ/mol of formula units
energy = -24.27 eV per atom
ΔE to the lowest computed polymorph = 60 meV per atom
crystal system = cubic
density = 5.25 Mg/m³

Lattice parameters (Å, degrees): 7.5878 7.5878 7.5878 90.00 90.00 90.00
Atoms (fractional coordinates):
1 In 0.2500 0.2500 0.2500
2 In 0.2500 0.2500 0.7500
3 In 0.2500 0.7500 0.2500
4 In 0.2500 0.7500 0.7500
5 In 0.7500 0.2500 0.2500
6 In 0.7500 0.2500 0.7500
7 In 0.7500 0.7500 0.2500
8 In 0.7500 0.7500 0.7500
9 Br 0.0000 0.0000 0.0000
10 Br 0.0000 0.5000 0.5000
11 Br 0.5000 0.0000 0.5000
12 Br 0.5000 0.5000 0.0000
13 Cl 0.0000 0.0000 0.5000
14 Cl 0.0000 0.5000 0.0000
15 Cl 0.5000 0.0000 0.0000
16 Cl 0.5000 0.5000 0.5000



[5]
Entry from Alexandria: a crystal of Ca2CoSe relaxed with PBEsol (meta-GGA SCAN).

Computed properties:
space group = P4/mmm, No. 123
energy relative to the elements, uncorrected = -299 kJ/mol of formula units
energy = -14.95 eV per atom
crystal system = tetragonal
density = 4.25 Mg/m³

Lattice parameters (Å, degrees): 3.5688 3.5688 6.6898 90.00 90.00 90.00
Atoms (fractional coordinates):
1 Ca 0.0000 0.0000 0.2505
2 Ca 0.0000 0.0000 0.7495
3 Co 0.5000 0.5000 0.0000
4 Se 0.5000 0.5000 0.5000



[6]
Entry from Alexandria: a crystal of TlOsRu2 relaxed with PBEsol (meta-GGA SCAN).

Computed properties:
space group = Cmm2, No. 35
energy = -52.55 eV per atom
E_form = 0.9223 eV/atom
ΔE to the lowest computed polymorph = 93 meV per atom
crystal system = orthorhombic
density = 15.60 Mg/m³

Lattice parameters (Å, degrees): 2.8093 4.8482 9.3295 90.00 90.00 90.00
Atoms (fractional coordinates):
1 Tl 0.0000 0.0000 0.0000
2 Tl 0.5000 0.5000 0.0000
3 Os 0.0000 0.5000 0.7249
4 Os 0.5000 0.0000 0.7249
5 Ru 0.0000 0.0000 0.4943
6 Ru 0.0000 0.5000 0.2643
7 Ru 0.5000 0.0000 0.2643
8 Ru 0.5000 0.5000 0.4943



[7]
Entry from Alexandria: a crystal of Co3RuAu relaxed with PBEsol (meta-GGA SCAN).

Computed properties:
space group = Pm-3m, No. 221
energy = -29.67 eV per atom
E_form = 1.5071 eV/atom
crystal system = cubic
density = 9.97 Mg/m³

Lattice parameters (Å, degrees): 4.2926 4.2926 4.2926 90.00 90.00 90.00
Atoms (fractional coordinates):
1 Co 0.0000 0.0000 0.5000
2 Co 0.0000 0.5000 0.0000
3 Co 0.5000 0.0000 0.0000
4 Ru 0.0000 0.0000 0.0000
5 Au 0.5000 0.5000 0.5000



[8]
Entry from Alexandria: a crystal of ReTeRu2 relaxed with PBEsol (meta-GGA SCAN).

Computed properties:
space group = R3m, No. 160
energy relative to the elements, uncorrected = 242 kJ/mol of formula units
energy = -43.87 eV per atom
crystal system = trigonal
density = 13.68 Mg/m³

Lattice parameters (Å, degrees): 2.9088 2.9088 25.6360 90.00 90.00 120.00
Atoms (fractional coordinates):
1 Re 0.0000 0.0000 0.0000
2 Re 0.3333 0.6667 0.6667
3 Re 0.6667 0.3333 0.3333
4 Te 0.0000 0.0000 0.2433
5 Te 0.3333 0.6667 0.9100
6 Te 0.6667 0.3333 0.5766
7 Ru 0.0000 0.0000 0.4955
8 Ru 0.0000 0.0000 0.7451
9 Ru 0.3333 0.6667 0.1622
10 Ru 0.3333 0.6667 0.4118
11 Ru 0.6667 0.3333 0.0784
12 Ru 0.6667 0.3333 0.8289



[9]
Entry from Alexandria: a crystal of TcO2 relaxed with PBEsol (meta-GGA SCAN).

Computed properties:
space group = P4_2/mnm, No. 136
energy relative to the elements, uncorrected = -456 kJ/mol of formula units
energy = -17.42 eV per atom
ΔE to the lowest computed polymorph = 63 meV per atom
crystal system = tetragonal
density = 6.94 Mg/m³

Lattice parameters (Å, degrees): 4.7795 4.7795 2.7221 90.00 90.00 90.00
Atoms (fractional coordinates):
1 Tc 0.0000 0.0000 0.0000
2 Tc 0.5000 0.5000 0.5000
3 O 0.2160 0.2160 0.5000
4 O 0.2840 0.7160 0.0000
5 O 0.7160 0.2840 0.0000
6 O 0.7840 0.7840 0.5000



[10]
Entry from Alexandria: a crystal of Cd3P2Cl2 relaxed with PBEsol (meta-GGA SCAN).

Computed properties:
space group = P2_1/c, No. 14
energy relative to the elements, uncorrected = -404 kJ/mol of formula units
energy = -18.88 eV per atom
crystal system = monoclinic
density = 4.33 Mg/m³

Lattice parameters (Å, degrees): 6.0790 8.0476 7.5431 90.00 102.48 90.00
Atoms (fractional coordinates):
1 Cd 0.0000 0.0000 0.0000
2 Cd 0.0000 0.5000 0.5000
3 Cd 0.3917 0.1590 0.6247
4 Cd 0.3917 0.3410 0.1247
5 Cd 0.6083 0.6590 0.8753
6 Cd 0.6083 0.8410 0.3753
7 P 0.3630 0.0831 0.9375
8 P 0.3630 0.4169 0.4375
9 P 0.6370 0.5831 0.5625
10 P 0.6370 0.9169 0.0625
11 Cl 0.1993 0.5696 0.8876
12 Cl 0.1993 0.9304 0.3876
13 Cl 0.8007 0.0696 0.6124
14 Cl 0.8007 0.4304 0.1124



[11]
Entry from Alexandria: a crystal of Fe2PtRh relaxed with PBEsol (meta-GGA SCAN).

Computed properties:
space group = R3m, No. 160
energy = -35.19 eV per atom
E_form = -0.1342 eV/atom
crystal system = trigonal
density = 13.02 Mg/m³

Lattice parameters (Å, degrees): 2.6683 2.6683 25.4256 90.00 90.00 120.00
Atoms (fractional coordinates):
1 Fe 0.0000 0.0000 0.0000
2 Fe 0.0000 0.0000 0.2550
3 Fe 0.3333 0.6667 0.6667
4 Fe 0.3333 0.6667 0.9216
5 Fe 0.6667 0.3333 0.3333
6 Fe 0.6667 0.3333 0.5883
7 Pt 0.0000 0.0000 0.5050
8 Pt 0.3333 0.6667 0.1717
9 Pt 0.6667 0.3333 0.8384
10 Rh 0.0000 0.0000 0.7457
11 Rh 0.3333 0.6667 0.4124
12 Rh 0.6667 0.3333 0.0790



[12]
Entry from Alexandria: a crystal of HfAu3S relaxed with PBEsol (meta-GGA SCAN).

Computed properties:
space group = Pm-3m, No. 221
energy relative to the elements, uncorrected = 289 kJ/mol of formula units
energy = -55.36 eV per atom
crystal system = cubic
density = 13.36 Mg/m³

Lattice parameters (Å, degrees): 4.6354 4.6354 4.6354 90.00 90.00 90.00
Atoms (fractional coordinates):
1 Hf 0.0000 0.0000 0.0000
2 Au 0.0000 0.5000 0.5000
3 Au 0.5000 0.0000 0.5000
4 Au 0.5000 0.5000 0.0000
5 S 0.5000 0.5000 0.5000



[13]
Entry from Alexandria: a crystal of ErAl2Ge2 relaxed with PBEsol (meta-GGA SCAN).

Computed properties:
space group = P-3m1, No. 164
energy = -21.24 eV per atom
E_form = -0.4386 eV/atom
crystal system = trigonal
density = 6.10 Mg/m³

Lattice parameters (Å, degrees): 4.2221 4.2221 6.4597 90.00 90.00 120.00
Atoms (fractional coordinates):
1 Er 0.0000 0.0000 0.0000
2 Al 0.3333 0.6667 0.6479
3 Al 0.6667 0.3333 0.3521
4 Ge 0.3333 0.6667 0.2528
5 Ge 0.6667 0.3333 0.7472



[14]
Entry from Alexandria: a crystal of La2Rh2Cl relaxed with PBEsol (meta-GGA SCAN).

Computed properties:
space group = I4/mmm, No. 139
energy relative to the elements, uncorrected = -442 kJ/mol of formula units
energy = -33.26 eV per atom
crystal system = tetragonal
density = 7.60 Mg/m³

Lattice parameters (Å, degrees): 5.3592 5.3592 7.9015 90.00 90.00 90.00
Atoms (fractional coordinates):
1 La 0.0000 0.5000 0.2500
2 La 0.0000 0.5000 0.7500
3 La 0.5000 0.0000 0.2500
4 La 0.5000 0.0000 0.7500
5 Rh 0.0000 0.0000 0.1623
6 Rh 0.0000 0.0000 0.8377
7 Rh 0.5000 0.5000 0.3377
8 Rh 0.5000 0.5000 0.6623
9 Cl 0.0000 0.0000 0.5000
10 Cl 0.5000 0.5000 0.0000



[15]
Entry from Alexandria: a crystal of FeSn3W relaxed with PBEsol (meta-GGA SCAN).

Computed properties:
space group = Pm-3m, No. 221
energy = -37.84 eV per atom
E_form = 1.2775 eV/atom
crystal system = cubic
density = 8.97 Mg/m³

Lattice parameters (Å, degrees): 4.7950 4.7950 4.7950 90.00 90.00 90.00
Atoms (fractional coordinates):
1 Fe 0.0000 0.0000 0.0000
2 Sn 0.0000 0.0000 0.5000
3 Sn 0.0000 0.5000 0.0000
4 Sn 0.5000 0.0000 0.0000
5 W 0.5000 0.5000 0.5000



[16]
Entry from Alexandria: a crystal of TiAlAu2 relaxed with PBEsol (meta-GGA SCAN).

Computed properties:
space group = P4/mmm, No. 123
energy = -41.16 eV per atom
E_form = -0.6377 eV/atom
crystal system = tetragonal
density = 12.09 Mg/m³

Lattice parameters (Å, degrees): 3.0383 3.0383 6.9758 90.00 90.00 90.00
Atoms (fractional coordinates):
1 Ti 0.0000 0.0000 0.0000
2 Al 0.0000 0.0000 0.5000
3 Au 0.5000 0.5000 0.2617
4 Au 0.5000 0.5000 0.7383



[17]
Entry from Alexandria: a crystal of Zn4AgHg relaxed with PBEsol (meta-GGA SCAN).

Computed properties:
space group = F-43m, No. 216
energy = -25.54 eV per atom
E_form = 0.0592 eV/atom
crystal system = cubic
density = 10.16 Mg/m³

Lattice parameters (Å, degrees): 5.0889 5.0889 5.0889 60.00 60.00 60.00
Atoms (fractional coordinates):
1 Zn 0.1253 0.1253 0.1253
2 Zn 0.1253 0.1253 0.6241
3 Zn 0.1253 0.6241 0.1253
4 Zn 0.6241 0.1253 0.1253
5 Ag 0.5000 0.5000 0.5000
6 Hg 0.7500 0.7500 0.7500



[18]
Entry from Alexandria: a crystal of Li3Cu relaxed with PBEsol (meta-GGA SCAN).

Computed properties:
space group = Pmmm, No. 47
energy = -5.56 eV per atom
E_form = 0.0272 eV/atom
crystal system = orthorhombic
density = 2.41 Mg/m³

Lattice parameters (Å, degrees): 2.6280 3.9382 5.6266 90.00 90.00 90.00
Atoms (fractional coordinates):
1 Li 0.0000 0.0000 0.0000
2 Li 0.5000 0.5000 0.2778
3 Li 0.5000 0.5000 0.7222
4 Cu 0.0000 0.0000 0.5000



[19]
Entry from Alexandria: a crystal of SbPBr2 relaxed with PBEsol (meta-GGA SCAN).

Computed properties:
space group = Fmmm, No. 69
energy relative to the elements, uncorrected = 156 kJ/mol of formula units
energy = -21.24 eV per atom
ΔE to the lowest computed polymorph = 0 meV per atom
crystal system = orthorhombic
density = 5.28 Mg/m³

Lattice parameters (Å, degrees): 6.3988 6.7012 9.1726 90.00 90.00 90.00
Atoms (fractional coordinates):
1 Sb 0.0000 0.0000 0.0000
2 Sb 0.0000 0.5000 0.5000
3 Sb 0.5000 0.0000 0.5000
4 Sb 0.5000 0.5000 0.0000
5 P 0.0000 0.0000 0.5000
6 P 0.0000 0.5000 0.0000
7 P 0.5000 0.0000 0.0000
8 P 0.5000 0.5000 0.5000
9 Br 0.0000 0.2500 0.2500
10 Br 0.0000 0.2500 0.7500
11 Br 0.0000 0.7500 0.2500
12 Br 0.0000 0.7500 0.7500
13 Br 0.5000 0.2500 0.2500
14 Br 0.5000 0.2500 0.7500
15 Br 0.5000 0.7500 0.2500
16 Br 0.5000 0.7500 0.7500



[20]
Entry from Alexandria: a crystal of As2Pd5 relaxed with PBEsol (meta-GGA SCAN).

Computed properties:
space group = P6_3cm, No. 185
energy = -29.60 eV per atom
E_form = -0.4209 eV/atom
crystal system = hexagonal
density = 10.82 Mg/m³

Lattice parameters (Å, degrees): 7.2966 7.2966 13.6141 90.00 90.00 120.00
Atoms (fractional coordinates):
1 As 0.0000 0.0000 0.0000
2 As 0.0000 0.0000 0.5000
3 As 0.0000 0.3274 0.2295
4 As 0.0000 0.6726 0.7295
5 As 0.3274 0.0000 0.2295
6 As 0.3274 0.3274 0.7295
7 As 0.3333 0.6667 0.4561
8 As 0.3333 0.6667 0.9561
9 As 0.6667 0.3333 0.4561
10 As 0.6667 0.3333 0.9561
11 As 0.6726 0.0000 0.7295
12 As 0.6726 0.6726 0.2295
13 Pd 0.0000 0.0000 0.2954
14 Pd 0.0000 0.0000 0.7954
15 Pd 0.0000 0.2429 0.6298
16 Pd 0.0000 0.2964 0.4229
17 Pd 0.0000 0.3851 0.8191
18 Pd 0.0000 0.3959 0.0371
19 Pd 0.0000 0.6041 0.5371
20 Pd 0.0000 0.6149 0.3191
21 Pd 0.0000 0.7036 0.9229
22 Pd 0.0000 0.7571 0.1298
23 Pd 0.2429 0.0000 0.6298
24 Pd 0.2429 0.2429 0.1298
25 Pd 0.2964 0.0000 0.4229
26 Pd 0.2964 0.2964 0.9229
27 Pd 0.3333 0.6667 0.1723
28 Pd 0.3333 0.6667 0.6723
29 Pd 0.3851 0.0000 0.8191
30 Pd 0.3851 0.3851 0.3191
31 Pd 0.3959 0.0000 0.0371
32 Pd 0.3959 0.3959 0.5371
33 Pd 0.6041 0.0000 0.5371
34 Pd 0.6041 0.6041 0.0371
35 Pd 0.6149 0.0000 0.3191
36 Pd 0.6149 0.6149 0.8191
37 Pd 0.6667 0.3333 0.1723
38 Pd 0.6667 0.3333 0.6723
39 Pd 0.7036 0.0000 0.9229
40 Pd 0.7036 0.7036 0.4229
41 Pd 0.7571 0.0000 0.1298
42 Pd 0.7571 0.7571 0.6298